Record 1
An optimized crystal structure of LaTl3Ag. Source: Alexandria via LeMat-Bulk, functional PBE-GGA.

Calculated values
* calculated formation energy: 0.128 eV per atom
* space group: No. 221
* calculated density: 9.0 g cm⁻³
* excess energy over the best structure of this formula in the dataset: 0 meV per atom

a = 5.410 Å, b = 5.410 Å, c = 5.410 Å
α = 90.00°, β = 90.00°, γ = 90.00°
Element x y z (fractional)
La  0.000  0.000  0.000
Tl  0.000  0.500  0.500
Tl  0.500  0.000  0.500
Tl  0.500  0.500  0.000
Ag  0.500  0.500  0.500

Record 2
An optimized crystal structure of Zr2Cu2Pd. Source: Alexandria via LeMat-Bulk, functional PBE-GGA.

Calculated values
* calculated formation energy: -0.002 eV per atom
* space group: No. 127
* calculated density: 7.8 g cm⁻³
* excess energy over the best structure of this formula in the dataset: 294 meV per atom

a = 7.786 Å, b = 7.786 Å, c = 2.934 Å
α = 90.00°, β = 90.00°, γ = 90.00°
Element x y z (fractional)
Zr  0.181  0.319  0.000
Zr  0.319  0.819  0.000
Zr  0.681  0.181  0.000
Zr  0.819  0.681  0.000
Cu  0.114  0.614  0.500
Cu  0.386  0.114  0.500
Cu  0.614  0.886  0.500
Cu  0.886  0.386  0.500
Pd  0.000  0.000  0.000
Pd  0.500  0.500  0.000